1.
The following is a PBE-GGA calculation of SnIBrO2 after structural relaxation, from the Alexandria database.

As for the formation energy without anion corrections: -0.343 eV per atom.

```
data_SnIBrO2
_symmetry_space_group_name_H-M 'P 4/m m m'
_symmetry_Int_Tables_number 123
_symmetry_space_group_name_Hall '-P 4 2'
_cell_length_a 4.091
_cell_length_b 4.091
_cell_length_c 6.789
_cell_angle_alpha 90.00
_cell_angle_beta 90.00
_cell_angle_gamma 90.00
loop_
_atom_site_label
_atom_site_fract_x
_atom_site_fract_y
_atom_site_fract_z
_atom_site_occupancy
Sn1 0.000 0.000 0.000 1
I1 0.000 0.000 0.500 1
Br1 0.500 0.500 0.500 1
O1 0.000 0.500 0.000 1
```

=====

2.
The following is a PBE-GGA calculation of SnIBrO2 after structural relaxation, from the Alexandria database.

As for the formation energy without anion corrections: 0.516 eV per atom.

```
data_SnIBrO2
_symmetry_space_group_name_H-M 'P 4/m m m'
_symmetry_Int_Tables_number 123
_symmetry_space_group_name_Hall '-P 4 2'
_cell_length_a 4.231
_cell_length_b 4.231
_cell_length_c 6.519
_cell_angle_alpha 90.00
_cell_angle_beta 90.00
_cell_angle_gamma 90.00
loop_
_atom_site_label
_atom_site_fract_x
_atom_site_fract_y
_atom_site_fract_z
_atom_site_occupancy
Sn1 0.000 0.000 0.000 1
I1 0.500 0.500 0.000 1
Br1 0.500 0.500 0.500 1
O1 0.000 0.500 0.500 1
```

=====

3.
The following is a PBE-GGA calculation of SnIBrO2 after structural relaxation, from the Alexandria database.

As for the formation energy without anion corrections: -0.331 eV per atom.

```
data_SnIBrO2
_symmetry_space_group_name_H-M 'P 4/m m m'
_symmetry_Int_Tables_number 123
_symmetry_space_group_name_Hall '-P 4 2'
_cell_length_a 4.097
_cell_length_b 4.097
_cell_length_c 6.871
_cell_angle_alpha 90.00
_cell_angle_beta 90.00
_cell_angle_gamma 90.00
loop_
_atom_site_label
_atom_site_fract_x
_atom_site_fract_y
_atom_site_fract_z
_atom_site_occupancy
Sn1 0.000 0.000 0.000 1
I1 0.500 0.500 0.500 1
Br1 0.000 0.000 0.500 1
O1 0.000 0.500 0.000 1
```

=====

4.
The following is a PBE-GGA calculation of SrI2BrO after structural relaxation, from the Alexandria database.

As for the formation energy without anion corrections: -0.450 eV per atom.

```
data_SrI2BrO
_symmetry_space_group_name_H-M 'P 4/m m m'
_symmetry_Int_Tables_number 123
_symmetry_space_group_name_Hall '-P 4 2'
_cell_length_a 6.606
_cell_length_b 6.606
_cell_length_c 4.549
_cell_angle_alpha 90.00
_cell_angle_beta 90.00
_cell_angle_gamma 90.00
loop_
_atom_site_label
_atom_site_fract_x
_atom_site_fract_y
_atom_site_fract_z
_atom_site_occupancy
Sr1 0.000 0.000 0.000 1
I1 0.000 0.500 0.000 1
Br1 0.500 0.500 0.500 1
O1 0.000 0.000 0.500 1
```

=====

5.
The following is a PBE-GGA calculation of SrI2BrO after structural relaxation, from the Alexandria database.

As for the formation energy without anion corrections: -0.357 eV per atom.

```
data_SrI2BrO
_symmetry_space_group_name_H-M 'P 4/m m m'
_symmetry_Int_Tables_number 123
_symmetry_space_group_name_Hall '-P 4 2'
_cell_length_a 6.226
_cell_length_b 6.226
_cell_length_c 4.114
_cell_angle_alpha 90.00
_cell_angle_beta 90.00
_cell_angle_gamma 90.00
loop_
_atom_site_label
_atom_site_fract_x
_atom_site_fract_y
_atom_site_fract_z
_atom_site_occupancy
Sr1 0.000 0.000 0.000 1
I1 0.000 0.500 0.500 1
Br1 0.500 0.500 0.500 1
O1 0.500 0.500 0.000 1
```

=====

6.
The following is a PBE-GGA calculation of TaI2BrO after structural relaxation, from the Alexandria database.

As for the formation energy without anion corrections: 1.216 eV per atom.

```
data_TaI2BrO
_symmetry_space_group_name_H-M 'P 4/m m m'
_symmetry_Int_Tables_number 123
_symmetry_space_group_name_Hall '-P 4 2'
_cell_length_a 6.021
_cell_length_b 6.021
_cell_length_c 3.711
_cell_angle_alpha 90.00
_cell_angle_beta 90.00
_cell_angle_gamma 90.00
loop_
_atom_site_label
_atom_site_fract_x
_atom_site_fract_y
_atom_site_fract_z
_atom_site_occupancy
Ta1 0.000 0.000 0.000 1
I1 0.000 0.500 0.500 1
Br1 0.500 0.500 0.500 1
O1 0.500 0.500 0.000 1
```

=====

Which formula does entry 3 have?
SnIBrO2